Version i
# LiThBi2, relaxed, DFT PBE
data_LiThBi2
_chemical_formula_sum 'Li4 Th4 Bi8'
_symmetry_space_group_name_H-M 'P n m a'
_symmetry_Int_Tables_number 62
_symmetry_space_group_name_Hall '-P 2ac 2n'
_cell_length_a 21.720
_cell_length_b 4.544
_cell_length_c 4.544
_cell_angle_alpha 90.00
_cell_angle_beta 90.00
_cell_angle_gamma 90.00
loop_
_atom_site_label
_atom_site_fract_x
_atom_site_fract_y
_atom_site_fract_z
_atom_site_occupancy
Li1 0.250 0.250 0.249 1
Th1 0.115 0.250 0.749 1
Bi1 0.000 0.250 0.250 1
Bi2 0.165 0.750 0.249 1
# * density of states at the Fermi level: 7.227 states/eV/cell



Version ii
# LiThBi2, relaxed, DFT PBE
data_LiThBi2
_chemical_formula_sum 'Li4 Th4 Bi8'
_symmetry_space_group_name_H-M 'F m -3 m'
_symmetry_Int_Tables_number 225
_symmetry_space_group_name_Hall '-F 4 2 3'
_cell_length_a 7.734
_cell_length_b 7.734
_cell_length_c 7.734
_cell_angle_alpha 90.00
_cell_angle_beta 90.00
_cell_angle_gamma 90.00
loop_
_atom_site_label
_atom_site_fract_x
_atom_site_fract_y
_atom_site_fract_z
_atom_site_occupancy
Li1 0.000 0.000 0.000 1
Th1 0.000 0.000 0.500 1
Bi1 0.250 0.250 0.250 1
# * density of states at the Fermi level: 12.085 states/eV/cell



Last place for stability: version ii



Version i
# LiTiBi, relaxed, DFT PBE
data_LiTiBi
_chemical_formula_sum 'Li2 Ti2 Bi2'
_symmetry_space_group_name_H-M 'P 4/n m m'
_symmetry_Int_Tables_number 129
_cell_length_a 4.219
_cell_length_b 4.219
_cell_length_c 7.398
_cell_angle_alpha 90.00
_cell_angle_beta 90.00
_cell_angle_gamma 90.00
loop_
_symmetry_equiv_pos_as_xyz
'x,y,z'
'-x,-y,-z'
'-y+1/2,x,z'
'y+1/2,-x,-z'
'-x+1/2,-y+1/2,z'
'x+1/2,y+1/2,-z'
'y,-x+1/2,z'
'-y,x+1/2,-z'
'x+1/2,-y,-z'
'-x+1/2,y,z'
'-y,-x,-z'
'y,x,z'
'-x,y+1/2,-z'
'x,-y+1/2,z'
'y+1/2,x+1/2,-z'
'-y+1/2,-x+1/2,z'
loop_
_atom_site_label
_atom_site_fract_x
_atom_site_fract_y
_atom_site_fract_z
_atom_site_occupancy
Li1 0.250 0.250 0.176 1
Ti1 0.250 0.750 0.500 1
Bi1 0.250 0.250 0.775 1
# * density of states at the Fermi level: 4.300 states/eV/cell



Version ii
# LiTiBi, relaxed, DFT PBE
data_LiTiBi
_chemical_formula_sum 'Li4 Ti4 Bi4'
_symmetry_space_group_name_H-M 'I 4/m m m'
_symmetry_Int_Tables_number 139
_symmetry_space_group_name_Hall '-I 4 2'
_cell_length_a 3.603
_cell_length_b 3.603
_cell_length_c 21.901
_cell_angle_alpha 90.00
_cell_angle_beta 90.00
_cell_angle_gamma 90.00
loop_
_atom_site_label
_atom_site_fract_x
_atom_site_fract_y
_atom_site_fract_z
_atom_site_occupancy
Li1 0.000 0.000 0.073 1
Ti1 0.000 0.000 0.219 1
Bi1 0.000 0.000 0.353 1
# * density of states at the Fermi level: 3.756 states/eV/cell



Last place for stability: version ii



Version i
# LiTlBi, relaxed, DFT PBE
data_LiTlBi
_chemical_formula_sum 'Li2 Tl2 Bi2'
_symmetry_space_group_name_H-M 'P 1 m 1'
_symmetry_Int_Tables_number 6
_symmetry_space_group_name_Hall 'P -2y'
_cell_length_a 3.464
_cell_length_b 4.629
_cell_length_c 10.122
_cell_angle_alpha 90.00
_cell_angle_beta 98.30
_cell_angle_gamma 90.00
loop_
_atom_site_label
_atom_site_fract_x
_atom_site_fract_y
_atom_site_fract_z
_atom_site_occupancy
Li1 0.000 0.000 0.000 1
Li2 0.063 0.500 0.161 1
Tl1 0.224 0.500 0.471 1
Tl2 0.834 0.000 0.691 1
Bi1 0.455 0.500 0.899 1
Bi2 0.607 0.000 0.263 1
# * density of states at the Fermi level: 1.554 states/eV/cell



Version ii
# LiTlBi, relaxed, DFT PBE
data_LiTlBi
_chemical_formula_sum 'Li1 Tl1 Bi1'
_symmetry_space_group_name_H-M 'P 3 m 1'
_symmetry_Int_Tables_number 156
_symmetry_space_group_name_Hall 'P 3 -2"'
_cell_length_a 5.1983
_cell_length_b 5.1983
_cell_length_c 3.5575
_cell_angle_alpha 90.00
_cell_angle_beta 90.00
_cell_angle_gamma 120.00
loop_
_atom_site_label
_atom_site_fract_x
_atom_site_fract_y
_atom_site_fract_z
_atom_site_occupancy
Li1 0.0000 0.0000 0.0000 1
Tl1 0.6667 0.3333 0.6069 1
Bi1 0.3333 0.6667 0.1799 1
# * density of states at the Fermi level: 1.407 states/eV/cell



Version iii
# LiTlBi, relaxed, DFT PBE
data_LiTlBi
_chemical_formula_sum 'Li2 Tl2 Bi2'
_symmetry_space_group_name_H-M 'I 4 m m'
_symmetry_Int_Tables_number 107
_symmetry_space_group_name_Hall 'I 4 -2'
_cell_length_a 4.091
_cell_length_b 4.091
_cell_length_c 9.795
_cell_angle_alpha 90.00
_cell_angle_beta 90.00
_cell_angle_gamma 90.00
loop_
_atom_site_label
_atom_site_fract_x
_atom_site_fract_y
_atom_site_fract_z
_atom_site_occupancy
Li1 0.000 0.000 0.000 1
Tl1 0.000 0.000 0.678 1
Bi1 0.000 0.000 0.343 1
# * density of states at the Fermi level: 3.564 states/eV/cell



Version iv
# LiTlBi, relaxed, DFT PBE
data_LiTlBi
_chemical_formula_sum 'Li4 Tl4 Bi4'
_symmetry_space_group_name_H-M 'C 1 2/m 1'
_symmetry_Int_Tables_number 12
_symmetry_space_group_name_Hall '-C 2y'
_cell_length_a 9.404
_cell_length_b 5.087
_cell_length_c 8.708
_cell_angle_alpha 90.00
_cell_angle_beta 119.81
_cell_angle_gamma 90.00
loop_
_atom_site_label
_atom_site_fract_x
_atom_site_fract_y
_atom_site_fract_z
_atom_site_occupancy
Li1 0.179 0.000 0.345 1
Tl1 0.085 0.500 0.863 1
Bi1 0.172 0.000 0.683 1
# * density of states at the Fermi level: 2.355 states/eV/cell



Last place for stability: version iii



Version i
# Li3Tl2Bi2, relaxed, DFT PBE
data_Li3Tl2Bi2
_chemical_formula_sum 'Li6 Tl4 Bi4'
_symmetry_space_group_name_H-M 'C 1 2/m 1'
_symmetry_Int_Tables_number 12
_symmetry_space_group_name_Hall '-C 2y'
_cell_length_a 11.333
_cell_length_b 4.676
_cell_length_c 7.504
_cell_angle_alpha 90.00
_cell_angle_beta 110.66
_cell_angle_gamma 90.00
loop_
_atom_site_label
_atom_site_fract_x
_atom_site_fract_y
_atom_site_fract_z
_atom_site_occupancy
Li1 0.000 0.000 0.000 1
Li2 0.144 0.000 0.429 1
Tl1 0.124 0.500 0.727 1
Bi1 0.153 0.500 0.190 1
# * density of states at the Fermi level: 4.574 states/eV/cell



Version ii
# Li3Tl2Bi2, relaxed, DFT PBE
data_Li3Tl2Bi2
_chemical_formula_sum 'Li12 Tl8 Bi8'
_symmetry_space_group_name_H-M 'I 21 3'
_symmetry_Int_Tables_number 199
_symmetry_space_group_name_Hall 'I 2b 2c 3'
_cell_length_a 8.895
_cell_length_b 8.895
_cell_length_c 8.895
_cell_angle_alpha 90.00
_cell_angle_beta 90.00
_cell_angle_gamma 90.00
loop_
_atom_site_label
_atom_site_fract_x
_atom_site_fract_y
_atom_site_fract_z
_atom_site_occupancy
Li1 0.000 0.250 0.970 1
Tl1 0.073 0.427 0.573 1
Bi1 0.223 0.223 0.223 1
# * density of states at the Fermi level: 8.825 states/eV/cell



Last place for stability: version ii



Version i
# Li2TlBi, relaxed, DFT PBE
data_Li2TlBi
_chemical_formula_sum 'Li2 Tl1 Bi1'
_symmetry_space_group_name_H-M 'P 4/m m m'
_symmetry_Int_Tables_number 123
_symmetry_space_group_name_Hall '-P 4 2'
_cell_length_a 5.090
_cell_length_b 5.090
_cell_length_c 3.522
_cell_angle_alpha 90.00
_cell_angle_beta 90.00
_cell_angle_gamma 90.00
loop_
_atom_site_label
_atom_site_fract_x
_atom_site_fract_y
_atom_site_fract_z
_atom_site_occupancy
Li1 0.000 0.500 0.000 1
Tl1 0.000 0.000 0.500 1
Bi1 0.500 0.500 0.500 1
# * density of states at the Fermi level: 1.398 states/eV/cell



Version ii
# Li2TlBi, relaxed, DFT PBE
data_Li2TlBi
_chemical_formula_sum 'Li8 Tl4 Bi4'
_symmetry_space_group_name_H-M 'F m -3 m'
_symmetry_Int_Tables_number 225
_symmetry_space_group_name_Hall '-F 4 2 3'
_cell_length_a 7.169
_cell_length_b 7.169
_cell_length_c 7.169
_cell_angle_alpha 90.00
_cell_angle_beta 90.00
_cell_angle_gamma 90.00
loop_
_atom_site_label
_atom_site_fract_x
_atom_site_fract_y
_atom_site_fract_z
_atom_site_occupancy
Li1 0.250 0.250 0.250 1
Tl1 0.000 0.000 0.000 1
Bi1 0.000 0.000 0.500 1
# * density of states at the Fermi level: 0.000 states/eV/cell



Last place for stability: version i



Version i
# Li2TlBi, relaxed, DFT PBE
data_Li2TlBi
_chemical_formula_sum 'Li4 Tl2 Bi2'
_symmetry_space_group_name_H-M 'C 1 m 1'
_symmetry_Int_Tables_number 8
_symmetry_space_group_name_Hall 'C -2y'
_cell_length_a 5.984
_cell_length_b 3.444
_cell_length_c 9.498
_cell_angle_alpha 90.00
_cell_angle_beta 101.90
_cell_angle_gamma 90.00
loop_
_atom_site_label
_atom_site_fract_x
_atom_site_fract_y
_atom_site_fract_z
_atom_site_occupancy
Li1 0.000 0.000 0.000 1
Li2 0.169 0.000 0.505 1
Tl1 0.250 0.500 0.252 1
Bi1 0.085 0.500 0.754 1
# * density of states at the Fermi level: 2.829 states/eV/cell



Version ii
# Li2TlBi, relaxed, DFT PBE
data_Li2TlBi
_chemical_formula_sum 'Li8 Tl4 Bi4'
_symmetry_space_group_name_H-M 'I -4 2 d'
_symmetry_Int_Tables_number 122
_symmetry_space_group_name_Hall 'I -4 2bw'
_cell_length_a 4.660
_cell_length_b 4.660
_cell_length_c 19.312
_cell_angle_alpha 90.00
_cell_angle_beta 90.00
_cell_angle_gamma 90.00
loop_
_atom_site_label
_atom_site_fract_x
_atom_site_fract_y
_atom_site_fract_z
_atom_site_occupancy
Li1 0.230 0.250 0.125 1
Tl1 0.000 0.000 0.500 1
Bi1 0.000 0.000 0.000 1
# * density of states at the Fermi level: 7.479 states/eV/cell



Last place for stability: version ii